The following is a DFT calculation (PBE-GGA) of Pr2Zn6Ag9 after structural relaxation.

Unit cell a=5.6418 b=5.6418 c=13.0903 alpha=90.00 beta=90.00 gamma=120.00
Fractional coordinates of all 17 atoms:
Pr 0.0000 0.0000 0.1673
Pr 0.0000 0.0000 0.8327
Zn 0.3333 0.6667 0.1655
Zn 0.3333 0.6667 0.5000
Zn 0.3333 0.6667 0.8345
Zn 0.6667 0.3333 0.1655
Zn 0.6667 0.3333 0.5000
Zn 0.6667 0.3333 0.8345
Ag 0.0000 0.5000 0.0000
Ag 0.0000 0.5000 0.3337
Ag 0.0000 0.5000 0.6663
Ag 0.5000 0.0000 0.0000
Ag 0.5000 0.0000 0.3337
Ag 0.5000 0.0000 0.6663
Ag 0.5000 0.5000 0.0000
Ag 0.5000 0.5000 0.3337
Ag 0.5000 0.5000 0.6663

Computed properties:
mass density: 7.570 g/cm3
electronic total energy: -2.59 eV/atom
energy relative to the elements: -0.073 eV per atom


The following is a DFT calculation (PBE-GGA) of Pr3Zn3Ag2 after structural relaxation.

Unit cell a=5.8708 b=5.8708 c=15.1347 alpha=90.00 beta=90.00 gamma=132.63
Fractional coordinates of all 16 atoms:
Pr 0.0987 0.9013 0.6056
Pr 0.0987 0.9013 0.8944
Pr 0.3768 0.6232 0.7500
Pr 0.6232 0.3768 0.2500
Pr 0.9013 0.0987 0.1056
Pr 0.9013 0.0987 0.3944
Zn 0.3370 0.6630 0.2500
Zn 0.3935 0.6065 0.5400
Zn 0.3935 0.6065 0.9600
Zn 0.6065 0.3935 0.0400
Zn 0.6065 0.3935 0.4600
Zn 0.6630 0.3370 0.7500
Ag 0.1992 0.8008 0.0989
Ag 0.1992 0.8008 0.4011
Ag 0.8008 0.1992 0.5989
Ag 0.8008 0.1992 0.9011

Computed properties:
mass density: 7.223 g/cm3
electronic total energy: -3.27 eV/atom
energy relative to the elements: -0.292 eV per atom


The following is a DFT calculation (PBE-GGA) of Pr2ZnAg3 after structural relaxation.

Unit cell a=9.5904 b=9.0293 c=5.9693 alpha=76.49 beta=66.27 gamma=37.24
Fractional coordinates of all 12 atoms:
Pr 0.2467 0.7533 0.7533
Pr 0.2500 0.2500 0.2500
Pr 0.7500 0.7500 0.7500
Pr 0.7533 0.2467 0.2467
Zn 0.3336 0.3336 0.6664
Zn 0.6664 0.6664 0.3336
Ag 0.1700 0.1700 0.8300
Ag 0.1713 0.6587 0.3413
Ag 0.3413 0.8287 0.1713
Ag 0.6587 0.1713 0.8287
Ag 0.8287 0.3413 0.6587
Ag 0.8300 0.8300 0.1700

Computed properties:
mass density: 7.877 g/cm3
electronic total energy: -3.52 eV/atom
energy relative to the elements: -0.288 eV per atom


The following is a DFT calculation (PBE-GGA) of PrZn2Ag3 after structural relaxation.

Unit cell a=8.4191 b=8.4191 c=7.9189 alpha=116.63 beta=116.63 gamma=29.75
Fractional coordinates of all 12 atoms:
Pr 0.1471 0.1471 0.0635
Pr 0.8529 0.8529 0.9366
Zn 0.2016 0.2016 0.7141
Zn 0.4817 0.4817 0.8338
Zn 0.5183 0.5183 0.1662
Zn 0.7984 0.7984 0.2859
Ag 0.0427 0.0427 0.3758
Ag 0.3137 0.3137 0.5497
Ag 0.4009 0.4009 0.3080
Ag 0.5991 0.5991 0.6920
Ag 0.6863 0.6863 0.4503
Ag 0.9573 0.9573 0.6242

Computed properties:
mass density: 8.012 g/cm3
electronic total energy: -2.82 eV/atom
energy relative to the elements: -0.171 eV per atom